Entry 1:
{
  "formula": "Tl2ZnPb",
  "functional": "PBE-GGA",
  "state": "relaxed",
  "cell": [[5.359, 0.000, 0.000], [0.000, 4.544, 0.000], [0.000, 0.000, 4.544]],
  "species": ["Pb", "Tl", "Tl", "Zn"],
  "frac_coords": [[0.500, 0.000, 0.500], [0.000, 0.000, 0.000], [0.000, 0.500, 0.500], [0.500, 0.500, 0.000]],
  "delta_e_f_ev_per_atom": 0.13,
  "total_energy_ev_per_atom": -2.296,
  "magmom_total_mub_per_cell": 0.00,
  "relative_energy_mev_per_atom": 49
}

---

Entry 2:
{
  "formula": "Tb3ScIr4",
  "functional": "PBE-GGA",
  "state": "relaxed",
  "cell": [[-1.540, 0.022, -2.913], [1.636, -2.720, -0.885], [-10.463, -8.074, 5.472]],
  "species": ["Sc", "Ir", "Ir", "Ir", "Ir", "Tb", "Tb", "Tb"],
  "frac_coords": [[0.500, 0.500, 0.000], [0.000, 0.000, 0.889], [0.000, 0.000, 0.111], [0.000, 0.000, 0.371], [0.000, 0.000, 0.629], [0.500, 0.500, 0.243], [0.500, 0.500, 0.500], [0.500, 0.500, 0.757]],
  "delta_e_f_ev_per_atom": -0.82,
  "total_energy_ev_per_atom": -7.775,
  "magmom_total_mub_per_cell": 0.00
}

---

Entry 3:
{
  "formula": "MnSi3C",
  "functional": "PBE-GGA",
  "state": "relaxed",
  "cell": [[-2.370, 3.556, 0.792], [-3.004, -1.373, -2.825], [-2.061, -2.088, 3.206]],
  "species": ["Si", "Si", "Si", "Mn", "C"],
  "frac_coords": [[0.000, 0.500, 0.000], [0.000, 0.000, 0.500], [0.500, 0.000, 0.000], [0.000, 0.000, 0.000], [0.500, 0.500, 0.500]],
  "formation_energy_uncorrected_ev_per_atom": 1.302,
  "total_energy_ev_per_atom": -5.630,
  "magmom_total_mub_per_cell": 3.00,
  "relative_energy_mev_per_atom": 320
}